# BaNaGaPb2, relaxed, DFT PBEsol
# symmetry	No. 123
# formation enthalpy at 0 K	873	meV per atom
# E_tot	-10.52	eV for the cell shown
data_BaNaGaPb2
_chemical_formula_sum 'Ba1 Na1 Ga1 Pb2'
_symmetry_space_group_name_H-M 'P 1'
_symmetry_Int_Tables_number 1
_cell_length_a 6.195
_cell_length_b 6.195
_cell_length_c 6.064
_cell_angle_alpha 90.00
_cell_angle_beta 90.00
_cell_angle_gamma 90.00
loop_
_symmetry_equiv_pos_as_xyz
'x,y,z'
loop_
_atom_site_label
_atom_site_type_symbol
_atom_site_fract_x
_atom_site_fract_y
_atom_site_fract_z
_atom_site_occupancy
Ba1 Ba 0.000 0.000 0.000 1
Na1 Na 0.000 0.000 0.500 1
Ga1 Ga 0.500 0.500 0.500 1
Pb1 Pb 0.000 0.500 0.000 1
Pb2 Pb 0.500 0.000 0.000 1